# Sm7Cu2Sn2

A relaxed Sm7Cu2Sn2 crystal (GGA-PBE, Alexandria via LeMat-Bulk).

Output
* energy of formation: -0.156 eV/atom
* volume: 29.94 A^3/atom
* magnetization: 0.00 μB per cell
* DOS(E_F): 11.285 states/eV/f.u.

Cell lengths 7.058, 7.058, 6.987 Å; angles 90.00, 90.00, 108.89 degrees
Sites, in units of the cell vectors:
Sm: 0.000 0.000 0.000
Sm: 0.000 0.500 0.260
Sm: 0.000 0.500 0.740
Sm: 0.500 0.000 0.260
Sm: 0.500 0.000 0.740
Sm: 0.500 0.500 0.237
Sm: 0.500 0.500 0.763
Cu: 0.288 0.712 0.000
Cu: 0.712 0.288 0.000
Sn: 0.177 0.177 0.500
Sn: 0.823 0.823 0.500

***

# Pr2CdAu3

A relaxed Pr2CdAu3 crystal (GGA-PBE, Alexandria via LeMat-Bulk).

Output
* offset from the most stable computed form: 46 meV per atom
* energy of formation: -0.615 eV/atom
* volume: 26.08 A^3/atom
* magnetization: 0.00 μB per cell
* DOS(E_F): 2.601 states/eV/f.u.

Cell lengths 4.087, 4.154, 18.439 Å; angles 90.00, 90.00, 90.00 degrees
Sites, in units of the cell vectors:
Pr: 0.000 0.000 0.000
Pr: 0.000 0.500 0.227
Pr: 0.500 0.000 0.727
Pr: 0.500 0.500 0.500
Cd: 0.000 0.000 0.402
Cd: 0.500 0.500 0.902
Au: 0.000 0.000 0.555
Au: 0.000 0.500 0.654
Au: 0.000 0.500 0.803
Au: 0.500 0.000 0.154
Au: 0.500 0.000 0.303
Au: 0.500 0.500 0.055

***

# HfBiSe3

A relaxed HfBiSe3 crystal (GGA-PBE, Alexandria via LeMat-Bulk).

Output
* offset from the most stable computed form: 1118 meV per atom
* volume: 30.88 A^3/atom
* uncorrected formation energy: 335 kJ/mol of formula units
* magnetization: 0.95 μB per cell
* DOS(E_F): 5.283 states/eV/f.u.

Cell lengths 5.365, 5.365, 5.365 Å; angles 90.00, 90.00, 90.00 degrees
Sites, in units of the cell vectors:
Hf: 0.000 0.000 0.000
Bi: 0.500 0.500 0.500
Se: 0.000 0.500 0.500
Se: 0.500 0.000 0.500
Se: 0.500 0.500 0.000

***

# LiLa3Sm4Se8

A relaxed LiLa3Sm4Se8 crystal (GGA-PBE, Alexandria via LeMat-Bulk).

Output
* volume: 26.52 A^3/atom
* uncorrected formation energy: -2855 kJ/mol of formula units
* magnetization: 0.00 μB per cell
* DOS(E_F): 9.995 states/eV/f.u.

Cell lengths 8.450, 8.450, 8.450 Å; angles 59.75, 59.75, 59.75 degrees
Sites, in units of the cell vectors:
Li: 0.000 0.000 0.000
La: 0.000 0.500 0.500
La: 0.500 0.000 0.500
La: 0.500 0.500 0.000
Sm: 0.000 0.000 0.500
Sm: 0.000 0.500 0.000
Sm: 0.500 0.000 0.000
Sm: 0.500 0.500 0.500
Se: 0.239 0.754 0.754
Se: 0.246 0.246 0.761
Se: 0.246 0.761 0.246
Se: 0.247 0.247 0.247
Se: 0.753 0.753 0.753
Se: 0.754 0.239 0.754
Se: 0.754 0.754 0.239
Se: 0.761 0.246 0.246

***

# Sr2YI

A relaxed Sr2YI crystal (GGA-PBE, Alexandria via LeMat-Bulk).

Output
* offset from the most stable computed form: 0 meV per atom
* volume: 42.28 A^3/atom
* uncorrected formation energy: -79 kJ/mol of formula units
* magnetization: 2.20 μB per cell
* DOS(E_F): 3.378 states/eV/f.u.

Cell lengths 3.969, 3.969, 37.198 Å; angles 90.00, 90.00, 120.00 degrees
Sites, in units of the cell vectors:
Sr: 0.000 0.000 0.098
Sr: 0.000 0.000 0.902
Sr: 0.333 0.667 0.569
Sr: 0.333 0.667 0.764
Sr: 0.667 0.333 0.236
Sr: 0.667 0.333 0.431
Y: 0.000 0.000 0.000
Y: 0.333 0.667 0.667
Y: 0.667 0.333 0.333
I: 0.000 0.000 0.500
I: 0.333 0.667 0.167
I: 0.667 0.333 0.833

***

# Ti2NbAl

A relaxed Ti2NbAl crystal (GGA-PBE, Alexandria via LeMat-Bulk).

Output
* energy of formation: -0.283 eV/atom
* volume: 16.85 A^3/atom
* magnetization: 0.00 μB per cell
* DOS(E_F): 3.981 states/eV/f.u.

Cell lengths 6.053, 9.526, 4.676 Å; angles 90.00, 90.00, 90.00 degrees
Sites, in units of the cell vectors:
Ti: 0.236 0.098 0.250
Ti: 0.236 0.902 0.750
Ti: 0.264 0.402 0.750
Ti: 0.264 0.598 0.250
Ti: 0.736 0.402 0.750
Ti: 0.736 0.598 0.250
Ti: 0.764 0.098 0.250
Ti: 0.764 0.902 0.750
Nb: 0.000 0.362 0.250
Nb: 0.000 0.638 0.750
Nb: 0.500 0.138 0.750
Nb: 0.500 0.862 0.250
Al: 0.000 0.163 0.750
Al: 0.000 0.837 0.250
Al: 0.500 0.337 0.250
Al: 0.500 0.663 0.750

***

# Ba2HgBiH

A relaxed Ba2HgBiH crystal (GGA-PBE, Alexandria via LeMat-Bulk).

Output
* uncorrected energy: -2.869 eV/atom
* volume: 31.09 A^3/atom
* magnetization: 0.00 μB per cell
* DOS(E_F): 0.302 states/eV/f.u.

Cell lengths 5.631, 5.631, 4.903 Å; angles 90.00, 90.00, 90.00 degrees
Sites, in units of the cell vectors:
Ba: 0.000 0.500 0.000
Ba: 0.500 0.000 0.000
Hg: 0.000 0.000 0.500
Bi: 0.500 0.500 0.500
H: 0.000 0.000 0.000

***

# Ta2MoCl

A relaxed Ta2MoCl crystal (GGA-PBE, Alexandria via LeMat-Bulk).

Output
* offset from the most stable computed form: 464 meV per atom
* volume: 17.19 A^3/atom
* uncorrected formation energy: 210 kJ/mol of formula units
* magnetization: 0.00 μB per cell
* DOS(E_F): 3.396 states/eV/f.u.

Cell lengths 3.311, 5.069, 8.194 Å; angles 90.00, 90.00, 90.00 degrees
Sites, in units of the cell vectors:
Ta: 0.000 0.000 0.234
Ta: 0.000 0.000 0.766
Ta: 0.500 0.500 0.266
Ta: 0.500 0.500 0.734
Mo: 0.000 0.500 0.000
Mo: 0.500 0.000 0.500
Cl: 0.000 0.500 0.500
Cl: 0.500 0.000 0.000